Below is LiTl2In at its PBEsol-relaxed geometry, with properties calculated at the SCAN level.

Cell: 3.287 3.287 8.773 Å, 90.00 90.00 90.08°
Positions (direct):
Tl (0.000, 0.000, 0.037)
Tl (0.500, 0.500, 0.744)
In (0.000, 0.000, 0.464)
Li (0.500, 0.500, 0.255)

Calculated values
E_form ... -127 meV per atom
Crystal system ... tetragonal

***

Below is ScBr3F at its PBEsol-relaxed geometry, with properties calculated at the SCAN level.

Cell: 5.164 5.164 5.164 Å, 90.00 90.00 90.00°
Last column: magnetic moment on the atom in μB.
Positions (direct):
Sc (0.000, 0.000, 0.000)  -0.01
Br (0.000, 0.500, 0.000)  0.08
Br (0.000, 0.000, 0.500)  0.08
Br (0.500, 0.000, 0.000)  0.08
F (0.500, 0.500, 0.500)  0.53

Calculated values
Raw formation energy ... -1.210 eV/atom
Crystal system ... cubic

***

Below is Cs3CuAu at its PBEsol-relaxed geometry, with properties calculated at the SCAN level.

Cell: 6.642 6.642 6.642 Å, 90.00 90.00 90.00°
Positions (direct):
Cs (0.000, 0.500, 0.000)
Cs (0.000, 0.000, 0.500)
Cs (0.500, 0.000, 0.000)
Au (0.000, 0.000, 0.000)
Cu (0.500, 0.500, 0.500)

Calculated values
E_form ... 196 meV per atom
Crystal system ... cubic

***

Below is Zr3BiH at its PBEsol-relaxed geometry, with properties calculated at the SCAN level.

Cell: 5.617 5.685 7.297 Å, 102.11 101.71 117.84°
Positions (direct):
H (0.053, 0.783, 0.000)
H (0.947, 0.217, 0.000)
Bi (0.667, 0.167, 0.334)
Bi (0.333, 0.833, 0.666)
Zr (0.305, 0.203, 0.000)
Zr (0.891, 0.391, 0.782)
Zr (0.109, 0.609, 0.218)
Zr (0.253, 0.253, 0.505)
Zr (0.695, 0.797, 0.000)
Zr (0.747, 0.747, 0.495)

Calculated values
Crystal system ... monoclinic
Polymorph energy (0 for the lowest one) ... 0.0 kJ/mol of atoms

***

Below is Hf2ScBi at its PBEsol-relaxed geometry, with properties calculated at the SCAN level.

Cell: 5.829 6.475 6.475 Å, 78.31 63.25 63.25°
Positions (direct):
Sc (0.250, 0.500, 0.500)
Sc (0.500, 0.000, 0.000)
Hf (0.110, 0.015, 0.515)
Hf (0.640, 0.985, 0.485)
Hf (0.375, 0.515, 0.985)
Hf (0.875, 0.485, 0.015)
Bi (0.750, 0.500, 0.500)
Bi (0.000, 0.000, 0.000)

Calculated values
E_form ... 317 meV per atom
Crystal system ... tetragonal

***

Below is LiIn2Hg at its PBEsol-relaxed geometry, with properties calculated at the SCAN level.

Cell: 3.226 5.025 5.574 Å, 90.00 91.00 90.00°
Positions (direct):
In (0.783, 0.000, 0.757)
In (0.217, 0.000, 0.243)
Hg (0.000, 0.500, 0.500)
Li (0.500, 0.500, 0.000)

Calculated values
E_form ... -147 meV per atom
Crystal system ... monoclinic

***

Below is TlRu2Se at its PBEsol-relaxed geometry, with properties calculated at the SCAN level.

Cell: 2.985 4.545 5.789 Å, 100.29 90.00 109.17°
Positions (direct):
Ru (0.974, 0.948, 0.958)
Ru (0.252, 0.503, 0.663)
Se (0.532, 0.064, 0.660)
Tl (0.742, 0.484, 0.218)

Calculated values
Raw formation energy ... 0.384 eV/atom
Crystal system ... monoclinic
Polymorph energy (0 for the lowest one) ... 0.0 kJ/mol of atoms

***

Below is Na2La2PtO6 at its PBEsol-relaxed geometry, with properties calculated at the SCAN level.

Cell: 6.619 6.619 6.657 Å, 89.06 89.06 89.17°
Positions (direct):
Na (0.747, 0.253, 0.000)
Na (0.259, 0.741, 0.500)
Na (0.605, 0.747, 0.856)
Na (0.253, 0.395, 0.144)
La (0.389, 0.258, 0.651)
La (0.742, 0.611, 0.349)
La (0.123, 0.877, 0.000)
La (0.892, 0.108, 0.500)
Pt (0.993, 0.498, 0.754)
Pt (0.502, 0.007, 0.246)
O (0.049, 0.197, 0.818)
O (0.706, 0.415, 0.687)
O (0.922, 0.557, 0.047)
O (0.561, 0.931, 0.533)
O (0.426, 0.720, 0.190)
O (0.209, 0.053, 0.328)
O (0.947, 0.791, 0.672)
O (0.280, 0.574, 0.810)
O (0.069, 0.439, 0.467)
O (0.443, 0.078, 0.953)
O (0.585, 0.294, 0.313)
O (0.803, 0.951, 0.182)

Calculated values
Raw formation energy ... -2.454 eV/atom
Crystal system ... monoclinic

***

What did the seventh record say?
Below is TlRu2Se at its PBEsol-relaxed geometry, with properties calculated at the SCAN level.

Cell: 2.985 4.545 5.789 Å, 100.29 90.00 109.17°
Positions (direct):
Ru (0.974, 0.948, 0.958)
Ru (0.252, 0.503, 0.663)
Se (0.532, 0.064, 0.660)
Tl (0.742, 0.484, 0.218)

Calculated values
Raw formation energy ... 0.384 eV/atom
Crystal system ... monoclinic
Polymorph energy (0 for the lowest one) ... 0.0 kJ/mol of atoms